No. 1
! SrAsBr2 | the Alexandria database | GGA-PBE | optimized geometry; values from VASP
&SYSTEM
  ibrav = 0, nat = 4, ntyp = 3
/
ATOMIC_SPECIES
Br 79.90 Br.upf
As 74.92 As.upf
Sr 87.62 Sr.upf
CELL_PARAMETERS angstrom
7.435 0.104 -0.196
6.409 3.770 -0.196
0.338 0.095 5.392
ATOMIC_POSITIONS crystal
Br 0.401 0.401 0.528
Br 0.099 0.099 0.972
As 0.250 0.250 0.250
Sr 0.750 0.750 0.750
! DFT total energy ... -3.42 eV per atom
! Energy above the lowest structure with this stoichiometry ... 0 meV per atom
! Space group ... C2/m
! Formation energy from raw total energies ... -999 meV/atom
! Theoretical density ... 3.621 g/cm³

No. 2
! SrAsBr2 | the Alexandria database | GGA-PBE | optimized geometry; values from VASP
&SYSTEM
  ibrav = 0, nat = 4, ntyp = 3
/
ATOMIC_SPECIES
Br 79.90 Br.upf
As 74.92 As.upf
Sr 87.62 Sr.upf
CELL_PARAMETERS angstrom
4.539 0.000 0.000
0.000 4.539 0.000
0.000 0.000 6.240
ATOMIC_POSITIONS crystal
Br 0.500 0.500 0.282
Br 0.000 0.000 0.013
As 0.500 0.500 0.673
Sr 0.000 0.000 0.532
! DFT total energy ... -3.23 eV per atom
! Energy above the lowest structure with this stoichiometry ... 186 meV per atom
! Space group ... P4mm
! Formation energy from raw total energies ... -813 meV/atom
! Theoretical density ... 4.164 g/cm³

No. 3
! SrAsBr | the Alexandria database | GGA-PBE | optimized geometry; values from VASP
&SYSTEM
  ibrav = 0, nat = 3, ntyp = 3
/
ATOMIC_SPECIES
As 74.92 As.upf
Sr 87.62 Sr.upf
Br 79.90 Br.upf
CELL_PARAMETERS angstrom
-3.014 3.261 -2.924
-5.089 0.806 1.312
-1.525 4.695 1.974
ATOMIC_POSITIONS crystal
As 0.000 0.000 0.000
Sr 0.750 0.750 0.750
Br 0.500 0.500 0.500
! DFT total energy ... -3.34 eV per atom
! Energy above the lowest structure with this stoichiometry ... 704 meV per atom
! Space group ... F-43m
! Formation energy from raw total energies ... -673 meV/atom
! Theoretical density ... 3.788 g/cm³

No. 4
! SrAsBr2 | the Alexandria database | GGA-PBE | optimized geometry; values from VASP
&SYSTEM
  ibrav = 0, nat = 4, ntyp = 3
/
ATOMIC_SPECIES
Sr 87.62 Sr.upf
Br 79.90 Br.upf
As 74.92 As.upf
CELL_PARAMETERS angstrom
-9.172 -1.869 4.986
-6.746 -1.965 7.945
-8.108 1.386 6.695
ATOMIC_POSITIONS crystal
Sr 0.000 0.000 0.000
Br 0.906 0.906 0.906
Br 0.094 0.094 0.094
As 0.500 0.500 0.500
! DFT total energy ... -2.45 eV per atom
! Energy above the lowest structure with this stoichiometry ... 967 meV per atom
! Space group ... R-3m
! Formation energy from raw total energies ... -32 meV/atom
! Theoretical density ... 4.067 g/cm³